1.
BeHgPb2 (PBE-GGA, optimized geometry); total magnetization = 0.0 μB per formula unit; D(E_F) = 2.53 states/eV/cell; final energy = -2.37 eV per atom
1.0
7.3226 0.0000 0.0000
0.0000 7.6393 0.0000
-0.2107 0.0000 3.6057
Be Hg Pb
2 2 4
Direct
0.0000 0.0000 0.0000 Be
0.5000 0.5000 0.0000 Be
0.0000 0.5000 0.0000 Hg
0.5000 0.0000 0.0000 Hg
0.2500 0.2500 0.5000 Pb
0.2500 0.7500 0.5000 Pb
0.7500 0.2500 0.5000 Pb
0.7500 0.7500 0.5000 Pb

=====

2.
NaTlS2 (PBE-GGA, optimized geometry); total magnetization = 0.0 μB per formula unit; formation energy from raw total energies = -518 meV/atom; D(E_F) = 0.00 states/eV/cell; final energy = -3.50 eV per atom
1.0
4.9823 -6.1972 0.0000
4.9823 6.1972 0.0000
-0.4019 0.0000 13.8622
Na Tl S
8 8 16
Direct
0.0946 0.8807 0.6116 Na
0.1193 0.9054 0.8884 Na
0.1510 0.3954 0.8747 Na
0.3954 0.1510 0.3747 Na
0.6046 0.8490 0.6253 Na
0.8490 0.6046 0.1253 Na
0.8807 0.0946 0.1116 Na
0.9054 0.1193 0.3884 Na
0.0539 0.6835 0.3641 Tl
0.2703 0.4435 0.1508 Tl
0.3165 0.9461 0.1359 Tl
0.4435 0.2703 0.6508 Tl
0.5565 0.7297 0.3492 Tl
0.6835 0.0539 0.8641 Tl
0.7297 0.5565 0.8492 Tl
0.9461 0.3165 0.6359 Tl
0.0018 0.4070 0.2626 S
0.0622 0.9378 0.2500 S
0.1840 0.2335 0.5322 S
0.2152 0.6716 0.0331 S
0.2335 0.1840 0.0322 S
0.3284 0.7848 0.4669 S
0.4070 0.0018 0.7626 S
0.4575 0.5425 0.7500 S
0.5425 0.4575 0.2500 S
0.5930 0.9982 0.2374 S
0.6716 0.2152 0.5331 S
0.7665 0.8160 0.9678 S
0.7848 0.3284 0.9669 S
0.8160 0.7665 0.4678 S
0.9378 0.0622 0.7500 S
0.9982 0.5930 0.7374 S

=====

3.
MnAsSeBr2 (PBE-GGA, optimized geometry); total magnetization = 0.2 μB per formula unit; formation energy from raw total energies = 495 meV/atom; D(E_F) = 7.82 states/eV/cell; final energy = -3.63 eV per atom
1.0
4.8845 0.0000 0.0000
0.0000 4.8845 0.0000
0.0000 0.0000 4.6600
Mn As Se Br
1 1 1 2
Direct
0.0000 0.0000 0.0000 Mn
0.5000 0.5000 0.5000 As
0.0000 0.0000 0.5000 Se
0.0000 0.5000 0.0000 Br
0.5000 0.0000 0.0000 Br

=====

4.
ZnIrWN2 (PBE-GGA, optimized geometry); total magnetization = 0.0 μB per formula unit; formation energy from raw total energies = 1473 meV/atom; D(E_F) = 4.44 states/eV/cell; final energy = -6.47 eV per atom
1.0
3.7500 0.0000 0.0000
0.0000 3.7500 0.0000
0.0000 0.0000 5.4538
Zn Ir W N
1 1 1 2
Direct
0.0000 0.0000 0.0000 Zn
0.5000 0.5000 0.5000 Ir
0.5000 0.5000 0.0000 W
0.0000 0.5000 0.5000 N
0.5000 0.0000 0.5000 N

=====

5.
CaRu2C2 (PBE-GGA, optimized geometry); total magnetization = 0.0 μB per formula unit; D(E_F) = 1.61 states/eV/cell; final energy = -7.86 eV per atom
1.0
0.0000 4.4982 4.9499
3.0841 0.0000 4.9499
3.0841 4.4982 0.0000
Ca Ru C
2 4 4
Direct
0.1250 0.1250 0.1250 Ca
0.8750 0.8750 0.8750 Ca
0.2401 0.2401 0.5099 Ru
0.4901 0.4901 0.7599 Ru
0.5099 0.5099 0.2401 Ru
0.7599 0.7599 0.4901 Ru
0.1944 0.5556 0.1944 C
0.4444 0.8056 0.4444 C
0.5556 0.1944 0.5556 C
0.8056 0.4444 0.8056 C

=====

6.
PrNd2P (PBE-GGA, optimized geometry); total magnetization = 0.0 μB per formula unit; D(E_F) = 9.55 states/eV/cell; final energy = -5.60 eV per atom
1.0
3.9439 0.0000 0.0000
-1.9720 3.4156 0.0000
0.0000 0.0000 28.9120
Pr Nd P
3 6 3
Direct
0.0000 0.0000 0.0000 Pr
0.3333 0.6667 0.6667 Pr
0.6667 0.3333 0.3333 Pr
0.0000 0.0000 0.2256 Nd
0.0000 0.0000 0.7744 Nd
0.3333 0.6667 0.4410 Nd
0.3333 0.6667 0.8923 Nd
0.6667 0.3333 0.1077 Nd
0.6667 0.3333 0.5590 Nd
0.0000 0.0000 0.5000 P
0.3333 0.6667 0.1667 P
0.6667 0.3333 0.8333 P

=====

7.
TaTc2Ag (PBE-GGA, optimized geometry); total magnetization = 0.0 μB per formula unit; D(E_F) = 22.56 states/eV/cell; final energy = -8.50 eV per atom
1.0
2.8054 0.0000 0.0000
-1.4027 2.4295 0.0000
0.0000 0.0000 28.8297
Ta Tc Ag
3 6 3
Direct
0.0000 0.0000 0.0000 Ta
0.3333 0.6667 0.6667 Ta
0.6667 0.3333 0.3333 Ta
0.0000 0.0000 0.2513 Tc
0.0000 0.0000 0.7487 Tc
0.3333 0.6667 0.4154 Tc
0.3333 0.6667 0.9180 Tc
0.6667 0.3333 0.0820 Tc
0.6667 0.3333 0.5846 Tc
0.0000 0.0000 0.5000 Ag
0.3333 0.6667 0.1667 Ag
0.6667 0.3333 0.8333 Ag

=====

8.
BeGeO2F (PBE-GGA, optimized geometry); total magnetization = 0.0 μB per formula unit; formation energy from raw total energies = -1379 meV/atom; D(E_F) = 1.68 states/eV/cell; final energy = -5.41 eV per atom
1.0
3.7017 0.0000 0.0000
0.0000 3.7017 0.0000
0.0000 0.0000 3.2188
Be Ge O F
1 1 2 1
Direct
0.0000 0.0000 0.0000 Be
0.5000 0.5000 0.5000 Ge
0.0000 0.5000 0.0000 O
0.5000 0.0000 0.0000 O
0.0000 0.0000 0.5000 F

=====

9.
YMoPb (PBE-GGA, optimized geometry); total magnetization = 0.0 μB per formula unit; D(E_F) = 16.96 states/eV/cell; final energy = -6.63 eV per atom
1.0
3.9502 0.0000 0.0000
0.0000 5.1339 0.0000
0.0000 0.0000 13.9011
Y Mo Pb
4 4 4
Direct
0.0000 0.0000 0.0000 Y
0.0000 0.5000 0.5000 Y
0.5000 0.0000 0.5000 Y
0.5000 0.5000 0.0000 Y
0.0000 0.0000 0.3433 Mo
0.0000 0.5000 0.8433 Mo
0.5000 0.0000 0.8433 Mo
0.5000 0.5000 0.3433 Mo
0.0000 0.0000 0.6939 Pb
0.0000 0.5000 0.1939 Pb
0.5000 0.0000 0.1939 Pb
0.5000 0.5000 0.6939 Pb

=====

10.
Np2Si5Os3 (PBE-GGA, optimized geometry); total magnetization = 6.6 μB per formula unit; formation energy from raw total energies = -446 meV/atom; D(E_F) = 37.22 states/eV/cell; final energy = -9.11 eV per atom
1.0
5.5777 -5.9050 0.0000
5.5777 5.9050 0.0000
-2.8247 0.0000 5.0312
Np Si Os
4 10 6
Direct
0.0963 0.3686 0.2396 Np
0.3686 0.0963 0.7396 Np
0.6314 0.9037 0.2604 Np
0.9037 0.6314 0.7604 Np
0.0150 0.9850 0.7500 Si
0.2380 0.4334 0.8339 Si
0.2765 0.7235 0.7500 Si
0.2961 0.7039 0.2500 Si
0.4334 0.2380 0.3339 Si
0.5666 0.7620 0.6661 Si
0.7039 0.2961 0.7500 Si
0.7235 0.2765 0.2500 Si
0.7620 0.5666 0.1661 Si
0.9850 0.0150 0.2500 Si
0.0444 0.7540 0.3638 Os
0.2460 0.9556 0.1362 Os
0.4997 0.5003 0.2500 Os
0.5003 0.4997 0.7500 Os
0.7540 0.0444 0.8638 Os
0.9556 0.2460 0.6362 Os

=====

11.
TaSeN (PBE-GGA, optimized geometry); total magnetization = 0.0 μB per formula unit; formation energy from raw total energies = -722 meV/atom; D(E_F) = 2.27 states/eV/cell; final energy = -8.61 eV per atom
1.0
2.9589 0.0000 0.0000
0.0000 3.0790 0.0000
0.0000 0.0000 11.0740
Ta Se N
2 2 2
Direct
0.2500 0.2500 0.1223 Ta
0.7500 0.7500 0.8777 Ta
0.2500 0.7500 0.3187 Se
0.7500 0.2500 0.6813 Se
0.2500 0.2500 0.9197 N
0.7500 0.7500 0.0803 N

=====

12.
CsTa3Se (PBE-GGA, optimized geometry); total magnetization = 0.0 μB per formula unit; formation energy from raw total energies = 3196 meV/atom; D(E_F) = 3.50 states/eV/cell; final energy = -4.78 eV per atom
1.0
5.0531 0.0000 0.0000
0.0000 5.0531 0.0000
0.0000 0.0000 5.0531
Cs Ta Se
1 3 1
Direct
0.0000 0.0000 0.0000 Cs
0.0000 0.0000 0.5000 Ta
0.0000 0.5000 0.0000 Ta
0.5000 0.0000 0.0000 Ta
0.5000 0.5000 0.5000 Se

=====

13.
Pm4CoHg (PBE-GGA, optimized geometry); total magnetization = 0.0 μB per formula unit; D(E_F) = 13.10 states/eV/cell; final energy = -4.58 eV per atom
1.0
4.4122 -6.9547 0.0000
4.4122 6.9547 0.0000
-2.6193 0.0000 5.5048
Pm Co Hg
8 2 2
Direct
0.0674 0.7023 0.9215 Pm
0.2006 0.3351 0.6595 Pm
0.2977 0.9326 0.5785 Pm
0.3351 0.2006 0.1595 Pm
0.6649 0.7994 0.8405 Pm
0.7023 0.0674 0.4215 Pm
0.7994 0.6649 0.3405 Pm
0.9326 0.2977 0.0785 Pm
0.0031 0.9969 0.7500 Co
0.9969 0.0031 0.2500 Co
0.3778 0.6222 0.2500 Hg
0.6222 0.3778 0.7500 Hg

=====

14.
MgSc2Ru (PBE-GGA, optimized geometry); total magnetization = 0.0 μB per formula unit; D(E_F) = 1.97 states/eV/cell; final energy = -6.29 eV per atom
1.0
3.2648 0.0000 0.0000
0.0000 3.2648 0.0000
0.0000 0.0000 7.5799
Mg Sc Ru
1 2 1
Direct
0.0000 0.0000 0.0000 Mg
0.5000 0.5000 0.2989 Sc
0.5000 0.5000 0.7011 Sc
0.0000 0.0000 0.5000 Ru

=====

15.
CeSm2Te5 (PBE-GGA, optimized geometry); total magnetization = 0.3 μB per formula unit; formation energy from raw total energies = -1258 meV/atom; D(E_F) = 12.74 states/eV/cell; final energy = -5.14 eV per atom
1.0
-4.1259 4.1259 7.1370
4.1259 -4.1259 7.1370
4.1259 4.1259 -7.1370
Ce Sm Te
2 4 10
Direct
0.2500 0.2500 0.0000 Ce
0.7500 0.7500 0.0000 Ce
0.1514 0.6514 0.8028 Sm
0.3486 0.1514 0.5000 Sm
0.6514 0.8486 0.5000 Sm
0.8486 0.3486 0.1972 Sm
0.0000 0.0000 0.0000 Te
0.0074 0.1908 0.5000 Te
0.1908 0.6908 0.1833 Te
0.3092 0.4926 0.5000 Te
0.4926 0.9926 0.1833 Te
0.5000 0.5000 0.0000 Te
0.5074 0.0074 0.8167 Te
0.6908 0.5074 0.5000 Te
0.8092 0.3092 0.8167 Te
0.9926 0.8092 0.5000 Te

=====

16.
Ce2CdCo (PBE-GGA, optimized geometry); total magnetization = 1.9 μB per formula unit; D(E_F) = 27.12 states/eV/cell; final energy = -4.85 eV per atom
1.0
3.6391 0.0000 0.0000
-1.8195 3.1515 0.0000
0.0000 0.0000 29.9267
Ce Cd Co
6 3 3
Direct
0.0000 0.0000 0.1131 Ce
0.0000 0.0000 0.8869 Ce
0.3333 0.6667 0.5536 Ce
0.3333 0.6667 0.7798 Ce
0.6667 0.3333 0.2202 Ce
0.6667 0.3333 0.4464 Ce
0.0000 0.0000 0.0000 Cd
0.3333 0.6667 0.6667 Cd
0.6667 0.3333 0.3333 Cd
0.0000 0.0000 0.5000 Co
0.3333 0.6667 0.1667 Co
0.6667 0.3333 0.8333 Co

=====

17.
RbCo2Te2 (PBE-GGA, optimized geometry); total magnetization = 2.1 μB per formula unit; formation energy from raw total energies = -284 meV/atom; D(E_F) = 6.82 states/eV/cell; final energy = -4.58 eV per atom
1.0
4.1093 0.0000 0.0000
0.0000 4.1093 0.0000
0.0000 0.0000 14.9799
Rb Co Te
2 4 4
Direct
0.0000 0.0000 0.0000 Rb
0.5000 0.5000 0.5000 Rb
0.0000 0.5000 0.2500 Co
0.0000 0.5000 0.7500 Co
0.5000 0.0000 0.2500 Co
0.5000 0.0000 0.7500 Co
0.0000 0.0000 0.3462 Te
0.0000 0.0000 0.6538 Te
0.5000 0.5000 0.1538 Te
0.5000 0.5000 0.8462 Te

=====

18.
La3Ge3Au2 (PBE-GGA, optimized geometry); total magnetization = 0.0 μB per formula unit; D(E_F) = 9.89 states/eV/cell; final energy = -5.23 eV per atom
1.0
2.2700 -5.6094 0.0000
2.2700 5.6094 0.0000
0.0000 0.0000 15.7115
La Ge Au
6 6 4
Direct
0.0969 0.9031 0.7500 La
0.3695 0.6305 0.5974 La
0.3695 0.6305 0.9026 La
0.6305 0.3695 0.0974 La
0.6305 0.3695 0.4026 La
0.9031 0.0969 0.2500 La
0.0889 0.9111 0.5485 Ge
0.0889 0.9111 0.9515 Ge
0.1807 0.8193 0.2500 Ge
0.8193 0.1807 0.7500 Ge
0.9111 0.0889 0.0485 Ge
0.9111 0.0889 0.4515 Ge
0.3367 0.6633 0.1158 Au
0.3367 0.6633 0.3842 Au
0.6633 0.3367 0.6158 Au
0.6633 0.3367 0.8842 Au

=====

19.
Pr2BeZnIr2 (PBE-GGA, optimized geometry); total magnetization = 0.0 μB per formula unit; D(E_F) = 6.44 states/eV/cell; final energy = -5.88 eV per atom
1.0
-2.9998 6.8314 2.9315
2.9998 -6.8314 2.9315
2.9998 6.8314 -2.9315
Pr Be Zn Ir
4 2 2 4
Direct
0.1669 0.2416 0.4085 Pr
0.3331 0.7416 0.0747 Pr
0.6669 0.2584 0.9253 Pr
0.8331 0.7584 0.5915 Pr
0.2500 0.7500 0.5000 Be
0.7500 0.2500 0.5000 Be
0.2500 0.2500 0.0000 Zn
0.7500 0.7500 0.0000 Zn
0.1022 0.7147 0.8168 Ir
0.3978 0.2147 0.6125 Ir
0.6022 0.7853 0.3875 Ir
0.8978 0.2853 0.1832 Ir

=====

20.
LuCdCuHg (PBE-GGA, optimized geometry); total magnetization = 0.0 μB per formula unit; D(E_F) = 8.31 states/eV/cell; final energy = -2.69 eV per atom
1.0
6.8569 0.0000 0.0000
0.0000 6.8569 0.0000
0.0000 0.0000 6.8569
Lu Cd Cu Hg
4 4 4 4
Direct
0.0000 0.0000 0.0000 Lu
0.0000 0.5000 0.5000 Lu
0.5000 0.0000 0.5000 Lu
0.5000 0.5000 0.0000 Lu
0.0000 0.0000 0.5000 Cd
0.0000 0.5000 0.0000 Cd
0.5000 0.0000 0.0000 Cd
0.5000 0.5000 0.5000 Cd
0.2500 0.2500 0.2500 Cu
0.2500 0.7500 0.7500 Cu
0.7500 0.2500 0.7500 Cu
0.7500 0.7500 0.2500 Cu
0.2500 0.2500 0.7500 Hg
0.2500 0.7500 0.2500 Hg
0.7500 0.2500 0.2500 Hg
0.7500 0.7500 0.7500 Hg